Record 1
A plane-wave DFT calculation with GGA-PBE was carried out for crystalline HfZr2Ni3As4Pd at its relaxed geometry.

Results
Magnetization (μB per atom): 0.0001
Distance to the lowest polymorph of the same formula (eV per atom): 0.003

abc: 6.5641 3.8442 7.4060
angles: 90.00 90.07 90.00
Last column: nearest neighbours and their distance in Å.
Sites, in units of the cell vectors:
Hf  0.0000  0.0000  0.0000  5 As 2.73-2.87, 4 Ni 2.78-3.03, 2 Pd 3.03
Zr  0.4526  0.5000  0.4912  5 As 2.62-2.75
Zr  0.9400  0.5000  0.6219  5 As 2.75-2.83, 5 Ni 2.83-2.95
Ni  0.0983  0.0000  0.3655  4 As 2.42-2.45, 2 Ni 2.66
Ni  0.6327  0.0000  0.7510  4 As 2.44-2.68
Ni  0.8510  0.5000  0.2472  4 As 2.41-2.48, 2 Ni 2.66
As  0.2244  0.5000  0.2002  3 Ni 2.42-2.48, 1 Pd 2.48, 1 Zr 2.62
As  0.2343  0.0000  0.6738  2 Ni 2.45-2.68, 2 Pd 2.53
As  0.7131  0.5000  0.9412  3 Ni 2.44, 1 Pd 2.55, 2 Hf 2.73
As  0.7300  0.0000  0.4123  4 Ni 2.41-2.59
Pd  0.3306  0.5000  0.8795  4 As 2.48-2.55

---

Record 2
A plane-wave DFT calculation with GGA-PBE was carried out for crystalline K2TbF6 at its relaxed geometry.

Results
Magnetization (μB per atom): 0.1111
Total DFT energy (no corrections) (eV/atom): -5.05

abc: 6.4930 6.4930 7.0830
angles: 90.97 90.97 120.11
Last column: nearest neighbours and their distance in Å.
Sites, in units of the cell vectors:
K  0.1317  0.8067  0.9987  9 F 2.58-2.81
K  0.1933  0.8683  0.5013  9 F 2.58-2.81
K  0.8067  0.1317  0.4987  9 F 2.58-2.81
K  0.8683  0.1933  0.0013  9 F 2.58-2.81
Tb  0.4542  0.5458  0.7500  8 F 2.25-2.27
Tb  0.5458  0.4542  0.2500  8 F 2.25-2.27
F  0.0859  0.4943  0.7198  1 Tb 2.25
F  0.1587  0.1950  0.2965  1 Tb 2.25, 1 F 2.36
F  0.1950  0.1587  0.7965  1 Tb 2.25, 1 F 2.36
F  0.3446  0.5611  0.0497  2 Tb 2.25-2.27
F  0.4389  0.6554  0.4503  2 Tb 2.25-2.27
F  0.4943  0.0859  0.2198  1 Tb 2.25
F  0.5057  0.9141  0.7802  1 Tb 2.25
F  0.5611  0.3446  0.5497  2 Tb 2.25-2.27
F  0.6554  0.4389  0.9503  2 Tb 2.25-2.27
F  0.8050  0.8413  0.2035  1 Tb 2.25, 1 F 2.36
F  0.8413  0.8050  0.7035  1 Tb 2.25, 1 F 2.36
F  0.9141  0.5057  0.2802  1 Tb 2.25

---

Record 3
A plane-wave DFT calculation with GGA-PBE was carried out for crystalline HoPaSb at its relaxed geometry.

Results
Magnetization (μB per atom): 1.0516
Total DFT energy (no corrections) (eV/atom): -5.50

abc: 5.2018 5.2018 5.2018
angles: 60.00 60.00 60.00
Last column: nearest neighbours and their distance in Å.
Sites, in units of the cell vectors:
Ho  0.0000  0.0000  0.0000  4 Pa 3.19
Pa  0.2500  0.2500  0.2500  4 Sb 3.19, 4 Ho 3.19
Sb  0.5000  0.5000  0.5000  4 Pa 3.19